{
  "formula": "ScOsBr2",
  "functional": "PBE",
  "state": "relaxed",
  "lattice_angstrom": [[5.7674, -0.0071, -0.0228], [4.8370, 3.1409, -0.0228], [0.3113, 0.0920, 5.6187]],
  "species": ["Br", "Br", "Os", "Sc"],
  "frac_coords": [[0.0505, 0.0505, 0.8186], [0.2618, 0.2618, 0.2593], [0.4037, 0.4037, 0.5778], [0.7840, 0.7840, 0.8442]],
  "polymorph_energy_ev_per_fu": 0.87,
  "m_tot_mub_per_cell": 0.3,
  "e_form_raw_ev_per_atom": -0.095,
  "rho_g_cm3": 6.430
}

{
  "formula": "ScOsBr2",
  "functional": "PBE",
  "state": "relaxed",
  "lattice_angstrom": [[5.8195, 0.0114, 0.0000], [3.2318, 4.8397, 0.0000], [-4.5256, -2.4255, 2.7390]],
  "species": ["Br", "Br", "Os", "Sc"],
  "frac_coords": [[0.2500, 0.7500, 0.5000], [0.0000, 0.0000, 0.0000], [0.5000, 0.5000, 0.0000], [0.7500, 0.2500, 0.5000]],
  "polymorph_energy_ev_per_fu": 2.90,
  "m_tot_mub_per_cell": 0.0,
  "e_form_raw_ev_per_atom": 0.414,
  "rho_g_cm3": 8.514
}

{
  "formula": "ScTeOs2Br",
  "functional": "PBE",
  "state": "relaxed",
  "lattice_angstrom": [[4.4793, 0.0000, 0.0000], [0.0000, 6.1021, 0.0000], [0.0000, 0.0000, 4.4793]],
  "species": ["Te", "Br", "Os", "Sc", "Os"],
  "frac_coords": [[0.0000, 0.5000, 0.0000], [0.0000, 0.0000, 0.0000], [0.5000, 0.0000, 0.0000], [0.5000, 0.5000, 0.5000], [0.0000, 0.0000, 0.5000]],
  "m_tot_mub_per_cell": 0.0,
  "e_form_raw_ev_per_atom": 1.645,
  "rho_g_cm3": 8.584
}

{
  "formula": "Sc2OsWBr",
  "functional": "PBE",
  "state": "relaxed",
  "lattice_angstrom": [[5.1961, 0.0000, 0.0000], [0.0000, 4.7030, 0.0000], [0.0000, 0.0000, 5.1961]],
  "species": ["Sc", "Sc", "Os", "W", "Br"],
  "frac_coords": [[0.0000, 0.0000, 0.5000], [0.5000, 0.0000, 0.0000], [0.0000, 0.0000, 0.0000], [0.0000, 0.5000, 0.0000], [0.5000, 0.5000, 0.5000]],
  "m_tot_mub_per_cell": 0.0,
  "e_form_raw_ev_per_atom": 0.523,
  "rho_g_cm3": 7.112
}

{
  "formula": "OsSeBr2",
  "functional": "PBE",
  "state": "relaxed",
  "lattice_angstrom": [[4.7726, -0.0068, 0.0000], [0.0458, 4.7724, 0.0000], [-2.4092, -2.3828, 3.3609]],
  "species": ["Br", "Se", "Os", "Br"],
  "frac_coords": [[0.0000, 0.0000, 0.0000], [0.7500, 0.2500, 0.5000], [0.5000, 0.5000, 0.0000], [0.2500, 0.7500, 0.5000]],
  "polymorph_energy_ev_per_fu": 4.64,
  "m_tot_mub_per_cell": 0.3,
  "e_form_raw_ev_per_atom": 1.232,
  "rho_g_cm3": 9.306
}

{
  "formula": "Os2SeBr",
  "functional": "PBE",
  "state": "relaxed",
  "lattice_angstrom": [[-2.4347, 4.7767, -0.0384], [-1.0584, -3.7434, -3.8045], [-2.2900, -1.4892, 0.8258]],
  "species": ["Os", "Br", "Se", "Os"],
  "frac_coords": [[0.0000, 0.0000, 0.0000], [0.5000, 0.5000, 0.0000], [0.0000, 0.5000, 0.5000], [0.5000, 0.0000, 0.5000]],
  "polymorph_energy_ev_per_fu": 3.80,
  "m_tot_mub_per_cell": 0.0,
  "e_form_raw_ev_per_atom": 1.343,
  "rho_g_cm3": 13.291
}

{
  "formula": "OsSe2Br",
  "functional": "PBE",
  "state": "relaxed",
  "lattice_angstrom": [[6.7824, 0.0000, 0.0000], [0.0000, 6.7824, 0.0000], [3.3912, 3.3912, 4.8149]],
  "species": ["Br", "Se", "Br", "Se", "Se", "Os", "Os", "Se"],
  "frac_coords": [[0.2500, 0.7500, 0.5000], [0.8750, 0.9655, 0.7500], [0.5000, 0.5000, 0.0000], [0.7155, 0.1250, 0.2500], [0.0345, 0.6250, 0.2500], [0.7500, 0.2500, 0.5000], [0.0000, 0.0000, 0.0000], [0.3750, 0.2845, 0.7500]],
  "polymorph_energy_ev_per_fu": 0.76,
  "m_tot_mub_per_cell": 0.0,
  "e_form_raw_ev_per_atom": 0.225,
  "rho_g_cm3": 6.418
}

{
  "formula": "OsSe2Br",
  "functional": "PBE",
  "state": "relaxed",
  "lattice_angstrom": [[7.9793, -0.0049, -0.0029], [7.1635, 3.5148, -0.0029], [7.1635, 1.6604, 3.0979]],
  "species": ["Br", "Se", "Os", "Se"],
  "frac_coords": [[0.2500, 0.2500, 0.2500], [0.4773, 0.4773, 0.4773], [0.7500, 0.7500, 0.7500], [0.0227, 0.0227, 0.0227]],
  "polymorph_energy_ev_per_fu": 0.28,
  "m_tot_mub_per_cell": 0.0,
  "e_form_raw_ev_per_atom": 0.104,
  "rho_g_cm3": 8.164
}

Which formula does entry 5 have?
OsSeBr2